Entry 1:
# UPa4 | Alexandria | PBE-GGA | relaxed
data_UPa4
_symmetry_space_group_name_H-M 'P 1'
_symmetry_Int_Tables_number 1
_cell_length_a 5.220
_cell_length_b 5.220
_cell_length_c 5.220
_cell_angle_alpha 90.00
_cell_angle_beta 90.00
_cell_angle_gamma 90.00
loop_
_symmetry_equiv_pos_as_xyz
'x,y,z'
loop_
_atom_site_label
_atom_site_type_symbol
_atom_site_fract_x
_atom_site_fract_y
_atom_site_fract_z
U1 U 0.000 0.000 0.000
Pa1 Pa 0.000 0.000 0.500
Pa2 Pa 0.000 0.500 0.000
Pa3 Pa 0.500 0.000 0.000
Pa4 Pa 0.500 0.500 0.500
# Calculated volume (Å³ per atom): 28.45
# DFT total energy (eV per atom): -9.094
# Excess energy over the best structure of this formula in the dataset (meV/atom): 517
# D(E_F) (states/eV/cell): 14.32
# Formation enthalpy at 0 K (eV per atom): 0.76

=====

Entry 2:
# YH2O | Alexandria | PBE-GGA | relaxed
data_YH2O
_symmetry_space_group_name_H-M 'P 1'
_symmetry_Int_Tables_number 1
_cell_length_a 3.676
_cell_length_b 3.676
_cell_length_c 7.796
_cell_angle_alpha 90.00
_cell_angle_beta 90.00
_cell_angle_gamma 120.00
loop_
_symmetry_equiv_pos_as_xyz
'x,y,z'
loop_
_atom_site_label
_atom_site_type_symbol
_atom_site_fract_x
_atom_site_fract_y
_atom_site_fract_z
Y1 Y 0.000 0.000 0.000
Y2 Y 0.333 0.667 0.609
H1 H 0.333 0.667 0.165
H2 H 0.333 0.667 0.893
H3 H 0.667 0.333 0.013
H4 H 0.667 0.333 0.335
O1 O 0.000 0.000 0.711
O2 O 0.667 0.333 0.461
# Calculated volume (Å³ per atom): 11.40
# DFT total energy (eV per atom): -6.133
# Excess energy over the best structure of this formula in the dataset (meV/atom): 19
# D(E_F) (states/eV/cell): 0.00

=====

Entry 3:
# BaGe2Pb2 | Alexandria | PBE-GGA | relaxed
data_BaGe2Pb2
_symmetry_space_group_name_H-M 'P 1'
_symmetry_Int_Tables_number 1
_cell_length_a 6.760
_cell_length_b 6.760
_cell_length_c 6.760
_cell_angle_alpha 133.47
_cell_angle_beta 133.47
_cell_angle_gamma 67.92
loop_
_symmetry_equiv_pos_as_xyz
'x,y,z'
loop_
_atom_site_label
_atom_site_type_symbol
_atom_site_fract_x
_atom_site_fract_y
_atom_site_fract_z
Ba1 Ba 0.000 0.000 0.000
Ge1 Ge 0.250 0.750 0.500
Ge2 Ge 0.750 0.250 0.500
Pb1 Pb 0.357 0.357 0.000
Pb2 Pb 0.643 0.643 0.000
# Calculated volume (Å³ per atom): 31.98
# DFT total energy (eV per atom): -3.863
# Excess energy over the best structure of this formula in the dataset (meV/atom): 111
# D(E_F) (states/eV/cell): 2.32
# Formation enthalpy at 0 K (eV per atom): -0.15

=====

Entry 4:
# NpSn2Au | Alexandria | PBE-GGA | relaxed
data_NpSn2Au
_symmetry_space_group_name_H-M 'P 1'
_symmetry_Int_Tables_number 1
_cell_length_a 10.986
_cell_length_b 10.986
_cell_length_c 10.986
_cell_angle_alpha 17.08
_cell_angle_beta 17.08
_cell_angle_gamma 17.08
loop_
_symmetry_equiv_pos_as_xyz
'x,y,z'
loop_
_atom_site_label
_atom_site_type_symbol
_atom_site_fract_x
_atom_site_fract_y
_atom_site_fract_z
Np1 Np 0.000 0.000 0.000
Sn1 Sn 0.098 0.098 0.098
Sn2 Sn 0.902 0.902 0.902
Au1 Au 0.500 0.500 0.500
# Calculated volume (Å³ per atom): 24.94
# DFT total energy (eV per atom): -5.774
# Excess energy over the best structure of this formula in the dataset (meV/atom): 435
# D(E_F) (states/eV/cell): 6.11
# Formation enthalpy at 0 K (eV per atom): 0.28

=====

Entry 5:
# K3GeH6 | Alexandria | PBE-GGA | relaxed
data_K3GeH6
_symmetry_space_group_name_H-M 'P 1'
_symmetry_Int_Tables_number 1
_cell_length_a 8.238
_cell_length_b 8.238
_cell_length_c 6.986
_cell_angle_alpha 90.00
_cell_angle_beta 90.00
_cell_angle_gamma 96.21
loop_
_symmetry_equiv_pos_as_xyz
'x,y,z'
loop_
_atom_site_label
_atom_site_type_symbol
_atom_site_fract_x
_atom_site_fract_y
_atom_site_fract_z
K1 K 0.078 0.922 0.500
K2 K 0.185 0.391 0.502
K3 K 0.391 0.185 0.002
K4 K 0.609 0.815 0.502
K5 K 0.815 0.609 0.002
K6 K 0.922 0.078 0.000
Ge1 Ge 0.308 0.692 0.007
Ge2 Ge 0.692 0.308 0.507
H1 H 0.156 0.615 0.886
H2 H 0.164 0.166 0.249
H3 H 0.166 0.164 0.749
H4 H 0.293 0.707 0.247
H5 H 0.385 0.844 0.886
H6 H 0.436 0.564 0.979
H7 H 0.564 0.436 0.479
H8 H 0.615 0.156 0.386
H9 H 0.707 0.293 0.747
H10 H 0.834 0.836 0.249
H11 H 0.836 0.834 0.749
H12 H 0.844 0.385 0.386
# Calculated volume (Å³ per atom): 23.57
# DFT total energy (eV per atom): -2.772
# D(E_F) (states/eV/cell): 4.34

=====

Entry 6:
# KCu2P | Alexandria | PBE-GGA | relaxed
data_KCu2P
_symmetry_space_group_name_H-M 'P 1'
_symmetry_Int_Tables_number 1
_cell_length_a 2.884
_cell_length_b 3.577
_cell_length_c 7.355
_cell_angle_alpha 90.00
_cell_angle_beta 90.00
_cell_angle_gamma 90.00
loop_
_symmetry_equiv_pos_as_xyz
'x,y,z'
loop_
_atom_site_label
_atom_site_type_symbol
_atom_site_fract_x
_atom_site_fract_y
_atom_site_fract_z
K1 K 0.000 0.000 0.000
Cu1 Cu 0.000 0.000 0.461
Cu2 Cu 0.500 0.500 0.639
P1 P 0.500 0.500 0.327
# Calculated volume (Å³ per atom): 18.97
# DFT total energy (eV per atom): -3.474
# D(E_F) (states/eV/cell): 2.81
# Formation enthalpy at 0 K (eV per atom): 0.20

=====

Entry 7:
# Tb4Pr3Dy | Alexandria | PBE-GGA | relaxed
data_Tb4Pr3Dy
_symmetry_space_group_name_H-M 'P 1'
_symmetry_Int_Tables_number 1
_cell_length_a 8.996
_cell_length_b 8.996
_cell_length_c 8.996
_cell_angle_alpha 157.56
_cell_angle_beta 98.25
_cell_angle_gamma 86.12
loop_
_symmetry_equiv_pos_as_xyz
'x,y,z'
loop_
_atom_site_label
_atom_site_type_symbol
_atom_site_fract_x
_atom_site_fract_y
_atom_site_fract_z
Tb1 Tb 0.112 0.866 0.246
Tb2 Tb 0.380 0.134 0.246
Tb3 Tb 0.620 0.866 0.754
Tb4 Tb 0.888 0.134 0.754
Pr1 Pr 0.242 0.742 0.500
Pr2 Pr 0.500 0.500 0.000
Pr3 Pr 0.758 0.258 0.500
Dy1 Dy 0.000 0.000 0.000
# Calculated volume (Å³ per atom): 33.87
# DFT total energy (eV per atom): -4.557
# Excess energy over the best structure of this formula in the dataset (meV/atom): 98
# D(E_F) (states/eV/cell): 11.66
# Formation enthalpy at 0 K (eV per atom): 0.13

=====

Entry 8:
# AlCuSe | Alexandria | PBE-GGA | relaxed
data_AlCuSe
_symmetry_space_group_name_H-M 'P 1'
_symmetry_Int_Tables_number 1
_cell_length_a 3.548
_cell_length_b 3.548
_cell_length_c 4.832
_cell_angle_alpha 90.00
_cell_angle_beta 90.00
_cell_angle_gamma 120.00
loop_
_symmetry_equiv_pos_as_xyz
'x,y,z'
loop_
_atom_site_label
_atom_site_type_symbol
_atom_site_fract_x
_atom_site_fract_y
_atom_site_fract_z
Al1 Al 0.000 0.000 0.000
Cu1 Cu 0.667 0.333 0.334
Se1 Se 0.333 0.667 0.676
# Calculated volume (Å³ per atom): 17.56
# DFT total energy (eV per atom): -3.933
# Excess energy over the best structure of this formula in the dataset (meV/atom): 0
# D(E_F) (states/eV/cell): 0.74
# ΔE_f (raw) (eV/atom): -0.16

=====

Entry 9:
# Y3MoW | Alexandria | PBE-GGA | relaxed
data_Y3MoW
_symmetry_space_group_name_H-M 'P 1'
_symmetry_Int_Tables_number 1
_cell_length_a 5.248
_cell_length_b 5.248
_cell_length_c 5.248
_cell_angle_alpha 90.00
_cell_angle_beta 90.00
_cell_angle_gamma 90.00
loop_
_symmetry_equiv_pos_as_xyz
'x,y,z'
loop_
_atom_site_label
_atom_site_type_symbol
_atom_site_fract_x
_atom_site_fract_y
_atom_site_fract_z
Y1 Y 0.000 0.000 0.500
Y2 Y 0.000 0.500 0.000
Y3 Y 0.500 0.000 0.000
Mo1 Mo 0.000 0.000 0.000
W1 W 0.500 0.500 0.500
# Calculated volume (Å³ per atom): 28.90
# DFT total energy (eV per atom): -7.360
# Excess energy over the best structure of this formula in the dataset (meV/atom): 67
# D(E_F) (states/eV/cell): 3.77
# Formation enthalpy at 0 K (eV per atom): 1.28

=====

Entry 10:
# VCuBi2 | Alexandria | PBE-GGA | relaxed
data_VCuBi2
_symmetry_space_group_name_H-M 'P 1'
_symmetry_Int_Tables_number 1
_cell_length_a 6.293
_cell_length_b 6.293
_cell_length_c 6.293
_cell_angle_alpha 105.16
_cell_angle_beta 105.16
_cell_angle_gamma 118.48
loop_
_symmetry_equiv_pos_as_xyz
'x,y,z'
loop_
_atom_site_label
_atom_site_type_symbol
_atom_site_fract_x
_atom_site_fract_y
_atom_site_fract_z
V1 V 0.000 0.000 0.000
V2 V 0.750 0.250 0.500
Cu1 Cu 0.250 0.750 0.500
Cu2 Cu 0.500 0.500 0.000
Bi1 Bi 0.148 0.625 0.023
Bi2 Bi 0.375 0.398 0.523
Bi3 Bi 0.602 0.125 0.977
Bi4 Bi 0.875 0.852 0.477
# Calculated volume (Å³ per atom): 23.53
# DFT total energy (eV per atom): -4.686
# D(E_F) (states/eV/cell): 10.08
# Formation enthalpy at 0 K (eV per atom): 0.56

=====

- Which formula does entry 7 have?
  Tb4Pr3Dy

=====

- Which formula does entry 1 have?
  UPa4

=====

- Which of these has the highest D(E_F)?
  UPa4

=====

Please write out number 6 again, unchanged.
# KCu2P | Alexandria | PBE-GGA | relaxed
data_KCu2P
_symmetry_space_group_name_H-M 'P 1'
_symmetry_Int_Tables_number 1
_cell_length_a 2.884
_cell_length_b 3.577
_cell_length_c 7.355
_cell_angle_alpha 90.00
_cell_angle_beta 90.00
_cell_angle_gamma 90.00
loop_
_symmetry_equiv_pos_as_xyz
'x,y,z'
loop_
_atom_site_label
_atom_site_type_symbol
_atom_site_fract_x
_atom_site_fract_y
_atom_site_fract_z
K1 K 0.000 0.000 0.000
Cu1 Cu 0.000 0.000 0.461
Cu2 Cu 0.500 0.500 0.639
P1 P 0.500 0.500 0.327
# Calculated volume (Å³ per atom): 18.97
# DFT total energy (eV per atom): -3.474
# D(E_F) (states/eV/cell): 2.81
# Formation enthalpy at 0 K (eV per atom): 0.20